# 1
DFT (PBE-GGA) results for a relaxed PRu3 crystal. Values from VASP.

```
&SYSTEM
  ibrav = 0, nat = 4, ntyp = 2
/
ATOMIC_SPECIES
P 30.97 P.upf
Ru 101.07 Ru.upf
CELL_PARAMETERS angstrom
-4.0545 -0.4400 3.0080
-3.8888 3.1829 -0.6536
2.9591 -3.5906 -2.0081
ATOMIC_POSITIONS angstrom
P -0.5477 -2.0153 0.5000
Ru -5.6679 1.9572 1.6800
Ru -2.2755 0.7858 0.6745
Ru -0.4649 -0.2038 -1.3309
```

Fermi-level density of states   2.9 states/eV/cell
Magnetization   0.0 μB/f.u.
Calculated volume   13.35 Å³/atom
ΔE_f   -66 kJ/mol of formula units
Excess energy over the best structure of this formula in the dataset   0.00 eV/f.u.
SG   Immm, No. 71



# 2
DFT (PBE-GGA) results for a relaxed CaPrAg4 crystal. Values from VASP.

```
&SYSTEM
  ibrav = 0, nat = 6, ntyp = 3
/
ATOMIC_SPECIES
Pr 140.91 Pr.upf
Ca 40.08 Ca.upf
Ag 107.87 Ag.upf
CELL_PARAMETERS angstrom
-1.0710 -4.0948 -3.9627
3.4341 -4.6581 -0.3565
-1.9765 -5.1925 1.6580
ATOMIC_POSITIONS angstrom
Pr 0.0000 0.0000 0.0000
Ca 0.0967 -3.4863 -0.6653
Ag 1.2244 -6.1242 -2.4861
Ag -1.4665 -6.3899 -1.4842
Ag 0.2414 -8.7066 -1.6615
Ag 0.7740 -6.6701 0.3093
```

Fermi-level density of states   6.4 states/eV/cell
Magnetization   0.0 μB/f.u.
Calculated volume   22.97 Å³/atom
ΔE_f   -117 kJ/mol of formula units
Excess energy over the best structure of this formula in the dataset   0.42 eV/f.u.
SG   F-43m, No. 216